Record 1
This record from Alexandria via LeMat-Bulk describes a geometry-optimized ZrTi6Sn4 structure. The functional is PBE.

abc: 6.7901 6.7901 10.7664
angles: 90.00 90.00 90.00
Space group I-42m (No. 121)
One atom of each set of equivalent atoms:
Zr (0.0000, 0.0000, 0.0000)
Ti (0.0000, 0.5000, 0.0000)
Ti (0.1588, 0.1588, 0.5950)
Sn (0.2463, 0.2463, 0.3449)

Calculated values
formation energy from the elements: 0.117 eV/atom


Record 2
This record from Alexandria via LeMat-Bulk describes a geometry-optimized KCu2O2 structure. The functional is PBE.

abc: 3.5884 3.5884 11.2665
angles: 90.00 90.00 90.00
Space group I4/mmm (No. 139)
One atom of each set of equivalent atoms:
K (0.0000, 0.0000, 0.0000)
Cu (0.0000, 0.5000, 0.2500)
O (0.0000, 0.0000, 0.3444)

Calculated values
energy relative to the lowest polymorph listed for this composition: 227 meV/atom
ΔE_f (raw): -2.87 eV per formula unit


Record 3
This record from Alexandria via LeMat-Bulk describes a geometry-optimized AcCrAs2 structure. The functional is PBE.

abc: 3.5496 3.5496 7.0791
angles: 90.00 90.00 90.00
Space group P4/mmm (No. 123)
One atom of each set of equivalent atoms:
Ac (0.0000, 0.0000, 0.0000)
Cr (0.0000, 0.0000, 0.5000)
As (0.5000, 0.5000, 0.3049)

Calculated values
energy relative to the lowest polymorph listed for this composition: 469 meV/atom
formation energy from the elements: -0.240 eV/atom


Record 4
This record from Alexandria via LeMat-Bulk describes a geometry-optimized TaInNiRu2 structure. The functional is PBE.

abc: 4.6961 4.6961 4.9239
angles: 90.00 90.00 90.00
Space group P4/mmm (No. 123)
One atom of each set of equivalent atoms:
Ta (0.0000, 0.0000, 0.0000)
In (0.0000, 0.0000, 0.5000)
Ni (0.5000, 0.5000, 0.0000)
Ru (0.0000, 0.5000, 0.5000)

Calculated values
formation energy from the elements: 2.397 eV/atom